No. 1
# DyTlPO

A geometry-optimized DyTlPO structure (PBE, OQMD).

Values from the calculation:
Crystal system: tetragonal
Relative energy among the computed polymorphs: 0 meV per atom
Magnetization: 0.0 μB/f.u.

Geometry as POSCAR:
```
DyTlPO
1.0
2.933 -2.933 0.000
2.933 2.933 0.000
0.000 0.000 9.430
Tl P O Dy
2 2 2 2
Cartesian
2.933 1.467 4.715 Tl
2.933 -1.467 4.715 Tl
1.467 0.000 6.827 P
4.400 0.000 2.604 P
2.933 -1.467 0.000 O
2.933 1.467 0.000 O
4.400 0.000 8.438 Dy
1.467 0.000 0.992 Dy
```

No. 2
# MgZrCoAs

A geometry-optimized MgZrCoAs structure (PBE, OQMD).

Values from the calculation:
Crystal system: cubic
Relative energy among the computed polymorphs: 0 meV per atom
Magnetization: 0.1 μB/f.u.

Geometry as POSCAR:
```
MgZrCoAs
1.0
-0.133 -4.524 0.390
-3.285 -1.974 2.438
-3.269 -2.364 -2.088
Mg Co Zr As
1 1 1 1
Cartesian
-1.672 -2.216 0.185 Mg
-5.016 -6.647 0.555 Co
-3.344 -4.431 0.370 Zr
0.000 0.000 0.000 As
```